[1]
# YSNO2 (GGA-PBE, relaxed)
# **Space group**: P4/mmm
# **Final energy**: -6.58 eV per atom
data_YSNO2
_chemical_formula_sum 'Y1 S1 N1 O2'
_symmetry_space_group_name_H-M 'P 1'
_symmetry_Int_Tables_number 1
_cell_length_a 3.8878
_cell_length_b 3.8878
_cell_length_c 3.6959
_cell_angle_alpha 90.00
_cell_angle_beta 90.00
_cell_angle_gamma 90.00
loop_
_symmetry_equiv_pos_as_xyz
'x,y,z'
loop_
_atom_site_label
_atom_site_type_symbol
_atom_site_fract_x
_atom_site_fract_y
_atom_site_fract_z
_atom_site_occupancy
S1 S 0.0000 0.0000 0.0000 1
N1 N 0.0000 0.0000 0.5000 1
Y1 Y 0.5000 0.5000 0.5000 1
O1 O 0.5000 0.0000 0.0000 1
O2 O 0.0000 0.5000 0.0000 1

[2]
# ZnSN2O (GGA-PBE, relaxed)
# **Space group**: P4/mmm
# **Final energy**: -3.55 eV per atom
data_ZnSN2O
_chemical_formula_sum 'Zn1 S1 N2 O1'
_symmetry_space_group_name_H-M 'P 1'
_symmetry_Int_Tables_number 1
_cell_length_a 3.9999
_cell_length_b 3.9999
_cell_length_c 3.7855
_cell_angle_alpha 90.00
_cell_angle_beta 90.00
_cell_angle_gamma 90.00
loop_
_symmetry_equiv_pos_as_xyz
'x,y,z'
loop_
_atom_site_label
_atom_site_type_symbol
_atom_site_fract_x
_atom_site_fract_y
_atom_site_fract_z
_atom_site_occupancy
N1 N 0.5000 0.0000 0.0000 1
N2 N 0.0000 0.5000 0.0000 1
S1 S 0.5000 0.5000 0.5000 1
O1 O 0.0000 0.0000 0.5000 1
Zn1 Zn 0.0000 0.0000 0.0000 1

[3]
# ZnSN2O (GGA-PBE, relaxed)
# **Space group**: P4/mmm
# **Final energy**: -3.40 eV per atom
data_ZnSN2O
_chemical_formula_sum 'Zn1 S1 N2 O1'
_symmetry_space_group_name_H-M 'P 1'
_symmetry_Int_Tables_number 1
_cell_length_a 3.8091
_cell_length_b 3.8091
_cell_length_c 3.8160
_cell_angle_alpha 90.00
_cell_angle_beta 90.00
_cell_angle_gamma 90.00
loop_
_symmetry_equiv_pos_as_xyz
'x,y,z'
loop_
_atom_site_label
_atom_site_type_symbol
_atom_site_fract_x
_atom_site_fract_y
_atom_site_fract_z
_atom_site_occupancy
N1 N 0.0000 0.5000 0.0000 1
N2 N 0.5000 0.0000 0.0000 1
O1 O 0.0000 0.0000 0.0000 1
S1 S 0.0000 0.0000 0.5000 1
Zn1 Zn 0.5000 0.5000 0.5000 1

[4]
# ZnSN2O (GGA-PBE, relaxed)
# **Space group**: P4/mmm
# **Final energy**: -4.36 eV per atom
data_ZnSN2O
_chemical_formula_sum 'Zn1 S1 N2 O1'
_symmetry_space_group_name_H-M 'P 1'
_symmetry_Int_Tables_number 1
_cell_length_a 3.1983
_cell_length_b 3.1983
_cell_length_c 5.8940
_cell_angle_alpha 90.00
_cell_angle_beta 90.00
_cell_angle_gamma 90.00
loop_
_symmetry_equiv_pos_as_xyz
'x,y,z'
loop_
_atom_site_label
_atom_site_type_symbol
_atom_site_fract_x
_atom_site_fract_y
_atom_site_fract_z
_atom_site_occupancy
O1 O 0.0000 0.0000 0.5000 1
N1 N 0.5000 0.0000 0.0000 1
N2 N 0.0000 0.5000 0.0000 1
S1 S 0.0000 0.0000 0.0000 1
Zn1 Zn 0.5000 0.5000 0.5000 1

What did the fourth record say?
# ZnSN2O (GGA-PBE, relaxed)
# **Space group**: P4/mmm
# **Final energy**: -4.36 eV per atom
data_ZnSN2O
_chemical_formula_sum 'Zn1 S1 N2 O1'
_symmetry_space_group_name_H-M 'P 1'
_symmetry_Int_Tables_number 1
_cell_length_a 3.1983
_cell_length_b 3.1983
_cell_length_c 5.8940
_cell_angle_alpha 90.00
_cell_angle_beta 90.00
_cell_angle_gamma 90.00
loop_
_symmetry_equiv_pos_as_xyz
'x,y,z'
loop_
_atom_site_label
_atom_site_type_symbol
_atom_site_fract_x
_atom_site_fract_y
_atom_site_fract_z
_atom_site_occupancy
O1 O 0.0000 0.0000 0.5000 1
N1 N 0.5000 0.0000 0.0000 1
N2 N 0.0000 0.5000 0.0000 1
S1 S 0.0000 0.0000 0.0000 1
Zn1 Zn 0.5000 0.5000 0.5000 1

Which of these has the highest final energy? number 3

Among the records above, which one has the lowest final energy? YSNO2